DFT (GGA-PBE) results for a relaxed structure of BaNd4Pb4.

Total moment (μB/cell): 0.00
DFT total energy (eV for the cell shown): -78.537
DFT formation energy (eV per formula unit): -3.44

a = 10.654 Å, b = 10.654 Å, c = 6.392 Å
α = 90.00°, β = 90.00°, γ = 90.00°
Positions (direct):
Ba: 0.250 0.250 0.250
Ba: 0.750 0.750 0.750
Nd: 0.117 0.632 0.148
Nd: 0.132 0.883 0.648
Nd: 0.368 0.617 0.648
Nd: 0.383 0.868 0.148
Nd: 0.617 0.132 0.852
Nd: 0.632 0.383 0.352
Nd: 0.868 0.117 0.352
Nd: 0.883 0.368 0.852
Pb: 0.068 0.581 0.666
Pb: 0.081 0.932 0.166
Pb: 0.419 0.568 0.166
Pb: 0.432 0.919 0.666
Pb: 0.568 0.081 0.334
Pb: 0.581 0.432 0.834
Pb: 0.919 0.068 0.834
Pb: 0.932 0.419 0.334